Record 1
This record from OQMD describes a geometry-optimized BaAlMo structure. The functional is PBE-GGA.

Structure (extended XYZ):
```
3
Lattice="0.0000 3.7189 3.7189 3.7189 0.0000 3.7189 3.7189 3.7189 0.0000" Properties=species:S:1:pos:R:3 pbc="T T T"
Ba 0.0000 0.0000 0.0000
Al 5.5784 5.5784 5.5784
Mo 1.8595 1.8595 1.8595
```

Summary:
Relative energy among the computed polymorphs   0.626 eV per atom
Spin magnetization   3.23 μB per formula unit
Volume   102.9 Å³/cell
Total DFT energy (no corrections)   -3.808 eV per atom

---

Record 2
This record from OQMD describes a geometry-optimized Y2ErSn3Pd3 structure. The functional is PBE-GGA.

Structure (extended XYZ):
```
9
Lattice="3.8831 0.0000 0.0000 0.0000 6.6028 3.8262 0.0000 -6.6028 3.8262" Properties=species:S:1:pos:R:3 pbc="T T T"
Y 0.0000 -3.9487 3.8262
Y 0.0000 3.9487 3.8262
Er 0.0000 0.0000 3.0395
Sn 1.9415 0.0000 0.4674
Sn 1.9415 -1.7356 5.1087
Sn 1.9415 1.7356 5.1087
Pd 0.0000 0.0000 6.0974
Pd 1.9415 -2.1734 2.2984
Pd 1.9415 2.1734 2.2984
```

Summary:
Spin magnetization   0.01 μB per formula unit
Volume   196.2 Å³/cell
Total DFT energy (no corrections)   -5.942 eV per atom

---

Record 3
This record from OQMD describes a geometry-optimized Pr2Sc3Re structure. The functional is PBE-GGA.

Structure (extended XYZ):
```
6
Lattice="4.1460 0.0000 0.0000 0.0000 4.1460 0.0000 0.0000 0.0000 8.7016" Properties=species:S:1:pos:R:3 pbc="T T T"
Pr 0.0000 2.0730 1.1601
Pr 2.0730 0.0000 7.5415
Sc 0.0000 2.0730 6.3295
Sc 2.0730 0.0000 2.3722
Sc 2.0730 2.0730 4.3508
Re 0.0000 0.0000 4.3508
```

Summary:
Spin magnetization   0.02 μB per formula unit
Volume   149.6 Å³/cell
Total DFT energy (no corrections)   -6.525 eV per atom
Calculated formation energy   0.30 eV per atom

---

Record 4
This record from OQMD describes a geometry-optimized HoLuIn structure. The functional is PBE-GGA.

Structure (extended XYZ):
```
6
Lattice="5.3143 0.0000 0.0000 -2.6571 4.6023 0.0000 0.0000 0.0000 6.6580" Properties=species:S:1:pos:R:3 pbc="T T T"
Ho 0.0000 0.0000 0.0000
Ho 0.0000 0.0000 3.3290
Lu 0.0000 3.0682 1.6645
Lu 2.6571 1.5341 4.9935
In 0.0000 3.0682 4.9935
In 2.6571 1.5341 1.6645
```

Summary:
Relative energy among the computed polymorphs   0.000 eV per atom
Spin magnetization   0.02 μB per formula unit
Volume   162.8 Å³/cell
Total DFT energy (no corrections)   -4.291 eV per atom

---

Question: The highest total DFT energy (no corrections) belongs to which entry?
Answer: BaAlMo